First-principles (PBE-GGA) data for a relaxed structure of NaCe2Tl3S6, as listed in the Alexandria database.

Computed properties:
Calculated total energy: -4.98 eV/atom
M_tot: 0.00 Bohr magnetons per cell
Formation energy without anion corrections: -28.168 kcal/mol of atoms

Unit cell a=7.169 b=12.395 c=7.762 alpha=90.00 beta=107.51 gamma=90.00
Space group C2/m (No. 12)
Asymmetric unit:
Na 0.000 0.000 0.000
Ce 0.000 0.333 0.000
Tl 0.000 0.159 0.500
Tl 0.000 0.500 0.500
S 0.207 0.500 0.195
S 0.249 0.181 0.207